[1]
Density functional theory data (PBE-GGA) for LiTaPtI2 after structural relaxation.

* space-group type: P4/mmm (123)

a b c (Å): 5.7132 5.0013 5.7132
angles (deg): 90.00 90.00 90.00
With the nearest neighbours (Å) after each atom.
Sites, in units of the cell vectors:
1 I 0.0000 0.0000 0.5000  2 Pt 2.86
2 I 0.5000 0.0000 0.0000  2 Pt 2.86
3 Li 0.5000 0.5000 0.5000  8 I 3.80, 4 Ta 4.04
4 Pt 0.0000 0.0000 0.0000  2 Ta 2.50
5 Ta 0.0000 0.5000 0.0000  2 Pt 2.50

[2]
Density functional theory data (PBE-GGA) for LiTePtI2 after structural relaxation.

* space-group type: P4/mmm (123)

a b c (Å): 5.7064 5.7064 5.2321
angles (deg): 90.00 90.00 90.00
With the nearest neighbours (Å) after each atom.
Sites, in units of the cell vectors:
1 Pt 0.0000 0.0000 0.0000  2 Te 2.62, 4 I 2.85
2 I 0.0000 0.5000 0.0000  2 Pt 2.85
3 I 0.5000 0.0000 0.0000  2 Pt 2.85
4 Li 0.5000 0.5000 0.5000  8 I 3.87, 4 Te 4.04
5 Te 0.0000 0.0000 0.5000  2 Pt 2.62

[3]
Density functional theory data (PBE-GGA) for LiTe2PtI after structural relaxation.

* space-group type: P4/mmm (123)

a b c (Å): 5.3495 5.7192 5.3495
angles (deg): 90.00 90.00 90.00
With the nearest neighbours (Å) after each atom.
Sites, in units of the cell vectors:
1 I 0.0000 0.5000 0.0000  2 Pt 2.86
2 Te 0.5000 0.0000 0.0000  2 Pt 2.67
3 Te 0.0000 0.0000 0.5000  2 Pt 2.67
4 Li 0.5000 0.5000 0.5000  4 I 3.78, 8 Te 3.92
5 Pt 0.0000 0.0000 0.0000  4 Te 2.67, 2 I 2.86

[4]
Density functional theory data (PBE-GGA) for Li2Pu3I8 after structural relaxation.

* space-group type: C2/m (12)

a b c (Å): 7.7433 9.0231 9.1054
angles (deg): 119.70 106.73 90.00
With the nearest neighbours (Å) after each atom.
Sites, in units of the cell vectors:
1 Li 0.6141 0.6677 0.3354  4 I 2.74-3.03
2 Li 0.3859 0.3323 0.6646  4 I 2.74-3.03
3 I 0.2435 0.1144 0.7457  1 Li 2.74
4 I 0.2435 0.6313 0.7457  1 Li 2.74
5 I 0.2568 0.1295 0.2590  1 Li 3.03, 3 Pu 3.21-3.22
6 I 0.2390 0.6252 0.2505  1 Li 2.76
7 I 0.7432 0.8705 0.7410  1 Li 3.03, 3 Pu 3.21-3.22
8 I 0.7610 0.3748 0.7495  1 Li 2.76
9 I 0.7565 0.3687 0.2543  1 Li 2.74
10 I 0.7565 0.8856 0.2543  1 Li 2.74
11 Pu 0.0000 0.2454 0.0000  6 I 3.18-3.22
12 Pu 0.0000 0.7546 0.0000  6 I 3.18-3.22
13 Pu 0.5000 0.0000 0.0000  6 I 3.18-3.21

[5]
Density functional theory data (PBE-GGA) for Li2PuI4 after structural relaxation.

* space-group type: P4_122 (91)

a b c (Å): 9.0251 9.0251 12.4787
angles (deg): 90.00 90.00 90.00
With the nearest neighbours (Å) after each atom.
Sites, in units of the cell vectors:
1 Li 0.7400 0.2600 0.6250  4 I 2.79-2.83
2 Li 0.5000 0.2741 0.0000  6 I 2.94-3.24
3 Li 0.5000 0.7259 0.5000  6 I 2.94-3.24
4 Li 0.2741 0.5000 0.7500  6 I 2.94-3.24
5 Li 0.7400 0.7400 0.8750  4 I 2.79-2.83
6 Li 0.7259 0.5000 0.2500  6 I 2.94-3.24
7 Li 0.2600 0.2600 0.3750  4 I 2.79-2.83
8 Li 0.2600 0.7400 0.1250  4 I 2.79-2.83
9 I 0.7404 0.0071 0.9939  1 Li 2.83
10 I 0.7403 0.4930 0.0095  3 Li 2.79-3.01
11 I 0.7403 0.5070 0.4905  3 Li 2.79-3.01
12 I 0.2596 0.0071 0.0061  1 Li 2.83
13 I 0.2597 0.5070 0.5095  3 Li 2.79-3.01
14 I 0.0071 0.2596 0.7439  1 Li 2.83
15 I 0.2596 0.9929 0.4939  1 Li 2.83
16 I 0.2597 0.4930 0.9905  3 Li 2.79-3.01
17 I 0.5070 0.7403 0.2595  3 Li 2.79-3.01
18 I 0.9929 0.7404 0.2439  1 Li 2.83
19 I 0.4930 0.2597 0.7595  3 Li 2.79-3.01
20 I 0.7404 0.9929 0.5061  1 Li 2.83
21 I 0.4930 0.7403 0.7405  3 Li 2.79-3.01
22 I 0.0071 0.7404 0.7561  1 Li 2.83
23 I 0.9929 0.2596 0.2561  1 Li 2.83
24 I 0.5070 0.2597 0.2405  3 Li 2.79-3.01
25 Pu 0.2488 0.0000 0.7500  6 I 3.20-3.22
26 Pu 0.0000 0.2488 0.0000  6 I 3.20-3.22
27 Pu 0.0000 0.7512 0.5000  6 I 3.20-3.22
28 Pu 0.7512 0.0000 0.2500  6 I 3.20-3.22

[6]
Density functional theory data (PBE-GGA) for LiPuI4 after structural relaxation.

* space-group type: P2/m (10)

a b c (Å): 4.4416 7.4990 7.6165
angles (deg): 92.46 90.00 90.00
With the nearest neighbours (Å) after each atom.
Sites, in units of the cell vectors:
1 I 0.0000 0.7803 0.3296  2 Li 3.02, 1 Pu 3.06
2 I 0.0000 0.2197 0.6704  2 Li 3.02, 1 Pu 3.06
3 I 0.5000 0.2400 0.1747  2 Pu 3.12, 1 Li 3.12
4 I 0.5000 0.7600 0.8253  2 Pu 3.12, 1 Li 3.12
5 Pu 0.0000 0.0000 0.0000  6 I 3.06-3.12
6 Li 0.5000 0.0000 0.5000  6 I 3.02-3.12

no.,VASP energy (eV per atom)
1,-3.9460
2,-2.9429
3,-3.1486
4,-5.6116
5,-4.5741
6,-4.8444